(1)
The following is a DFT calculation (PBE) of KPb2Br after structural relaxation.

Cell lengths 4.3847, 4.3847, 7.4279 Å; angles 90.00, 90.00, 90.00 degrees
Sites, in units of the cell vectors:
K 0.0000 0.0000 0.0000
Pb 0.5000 0.5000 0.2980
Pb 0.5000 0.5000 0.7020
Br 0.0000 0.0000 0.5000

The calculation puts the density of states at the Fermi level at 2.922 states/eV per cell. The value obtained for the energy relative to the lowest polymorph listed for this composition is 10.75 kcal/mol of atoms. As for the uncorrected formation energy: -0.11 eV per atom. The calculation puts the electronic total energy at -2.657 eV/atom.

(2)
The following is a DFT calculation (PBE) of K2PbBr after structural relaxation.

Cell lengths 3.7653, 3.8154, 9.7342 Å; angles 90.00, 90.00, 90.00 degrees
Sites, in units of the cell vectors:
K 0.0000 0.0000 0.2080
K 0.0000 0.0000 0.7920
Pb 0.5000 0.5000 0.5000
Br 0.5000 0.5000 0.0000

The calculation puts the density of states at the Fermi level at 2.099 states/eV per cell. The value obtained for the energy relative to the lowest polymorph listed for this composition is 0.00 kcal/mol of atoms. As for the uncorrected formation energy: -0.81 eV per atom. The calculation puts the electronic total energy at -2.706 eV/atom.

(3)
The following is a DFT calculation (PBE) of K6PbBr8 after structural relaxation.

Cell lengths 8.7252, 8.7252, 8.7252 Å; angles 68.79, 68.79, 68.79 degrees
Sites, in units of the cell vectors:
K 0.0189 0.8057 0.4403
K 0.1943 0.5597 0.9811
K 0.4403 0.0189 0.8057
K 0.5597 0.9811 0.1943
K 0.8057 0.4403 0.0189
K 0.9811 0.1943 0.5597
Pb 0.5000 0.5000 0.5000
Br 0.1616 0.1616 0.1616
Br 0.1666 0.3991 0.6707
Br 0.3293 0.8334 0.6009
Br 0.3991 0.6707 0.1666
Br 0.6009 0.3293 0.8334
Br 0.6707 0.1666 0.3991
Br 0.8334 0.6009 0.3293
Br 0.8384 0.8384 0.8384

The calculation puts the density of states at the Fermi level at 0.000 states/eV per cell. As for the uncorrected formation energy: -1.55 eV per atom. The calculation puts the electronic total energy at -3.133 eV/atom.

(4)
The following is a DFT calculation (PBE) of KPb2Br after structural relaxation.

Cell lengths 4.9890, 4.9890, 8.1166 Å; angles 90.00, 90.00, 120.00 degrees
Sites, in units of the cell vectors:
K 0.0000 0.0000 0.0000
Pb 0.3333 0.6667 0.6594
Pb 0.6667 0.3333 0.5355
Br 0.6667 0.3333 0.1606

The calculation puts the density of states at the Fermi level at 0.453 states/eV per cell. The value obtained for the energy relative to the lowest polymorph listed for this composition is 0.81 kcal/mol of atoms. As for the uncorrected formation energy: -0.54 eV per atom. The calculation puts the electronic total energy at -3.088 eV/atom.

(5)
The following is a DFT calculation (PBE) of K5Pb3Br12 after structural relaxation.

Cell lengths 16.1105, 16.1105, 16.1105 Å; angles 109.47, 109.47, 109.47 degrees
Sites, in units of the cell vectors:
K 0.0000 0.0000 0.0000
K 0.0000 0.0000 0.5000
K 0.0000 0.5000 0.0000
K 0.0000 0.5000 0.5000
K 0.1250 0.7500 0.8750
K 0.1250 0.8750 0.2500
K 0.2500 0.1250 0.8750
K 0.2500 0.6250 0.3750
K 0.3750 0.2500 0.6250
K 0.3750 0.6250 0.7500
K 0.5000 0.0000 0.0000
K 0.5000 0.0000 0.5000
K 0.5000 0.5000 0.0000
K 0.5000 0.5000 0.5000
K 0.6250 0.3750 0.2500
K 0.6250 0.7500 0.3750
K 0.7500 0.3750 0.6250
K 0.7500 0.8750 0.1250
K 0.8750 0.1250 0.7500
K 0.8750 0.2500 0.1250
Pb 0.1250 0.2500 0.3750
Pb 0.1250 0.3750 0.7500
Pb 0.2500 0.3750 0.1250
Pb 0.2500 0.8750 0.6250
Pb 0.3750 0.1250 0.2500
Pb 0.3750 0.7500 0.1250
Pb 0.6250 0.2500 0.8750
Pb 0.6250 0.8750 0.7500
Pb 0.7500 0.1250 0.3750
Pb 0.7500 0.6250 0.8750
Pb 0.8750 0.6250 0.2500
Pb 0.8750 0.7500 0.6250
Br 0.0644 0.6291 0.3911
Br 0.0644 0.9352 0.6733
Br 0.0648 0.2381 0.1291
Br 0.0648 0.3267 0.9356
Br 0.1089 0.7381 0.6733
Br 0.1089 0.8709 0.4356
Br 0.1291 0.0648 0.2381
Br 0.1291 0.5644 0.8911
Br 0.1733 0.2381 0.6089
Br 0.1733 0.4352 0.5644
Br 0.2381 0.1291 0.0648
Br 0.2381 0.6089 0.1733
Br 0.2619 0.3267 0.8911
Br 0.2619 0.4352 0.3709
Br 0.3267 0.8911 0.2619
Br 0.3267 0.9356 0.0648
Br 0.3709 0.2619 0.4352
Br 0.3709 0.6089 0.9356
Br 0.3911 0.0644 0.6291
Br 0.3911 0.8267 0.7619
Br 0.4352 0.3709 0.2619
Br 0.4352 0.5644 0.1733
Br 0.4356 0.1089 0.8709
Br 0.4356 0.8267 0.5648
Br 0.5644 0.1733 0.4352
Br 0.5644 0.8911 0.1291
Br 0.5648 0.4356 0.8267
Br 0.5648 0.6291 0.7381
Br 0.6089 0.1733 0.2381
Br 0.6089 0.9356 0.3709
Br 0.6291 0.3911 0.0644
Br 0.6291 0.7381 0.5648
Br 0.6733 0.0644 0.9352
Br 0.6733 0.1089 0.7381
Br 0.7381 0.5648 0.6291
Br 0.7381 0.6733 0.1089
Br 0.7619 0.3911 0.8267
Br 0.7619 0.8709 0.9352
Br 0.8267 0.5648 0.4356
Br 0.8267 0.7619 0.3911
Br 0.8709 0.4356 0.1089
Br 0.8709 0.9352 0.7619
Br 0.8911 0.1291 0.5644
Br 0.8911 0.2619 0.3267
Br 0.9352 0.6733 0.0644
Br 0.9352 0.7619 0.8709
Br 0.9356 0.0648 0.3267
Br 0.9356 0.3709 0.6089

The calculation puts the density of states at the Fermi level at 97.828 states/eV per cell. As for the uncorrected formation energy: -1.11 eV per atom. The calculation puts the electronic total energy at -2.947 eV/atom.

(6)
The following is a DFT calculation (PBE) of KPb2Br after structural relaxation.

Cell lengths 8.5653, 8.5653, 4.7999 Å; angles 105.57, 105.57, 26.78 degrees
Sites, in units of the cell vectors:
K 0.0000 0.0000 0.0000
Pb 0.2857 0.2857 0.2843
Pb 0.7143 0.7143 0.7157
Br 0.5000 0.5000 0.5000

The calculation puts the density of states at the Fermi level at 1.318 states/eV per cell. The value obtained for the energy relative to the lowest polymorph listed for this composition is 0.04 kcal/mol of atoms. As for the uncorrected formation energy: -0.57 eV per atom. The calculation puts the electronic total energy at -3.121 eV/atom.

> uncorrected formation energy of number 1 (KPb2Br)?

-0.11 eV per atom